Material: Sc2ZnPdSe
Method: DFT, GGA-PBE
State: optimized geometry

Cell lengths 5.092, 5.092, 4.517 Å; angles 90.00, 90.00, 90.00 degrees
Space group P4/mmm (No. 123)
Asymmetric unit:
Sc 0.000 0.500 0.000
Zn 0.000 0.000 0.000
Pd 0.500 0.500 0.500
Se 0.000 0.000 0.500

Summary:
* uncorrected formation energy: 0.27 eV/atom
* E: -4.2562 eV per atom
* calculated volume: 23.4 Å³/atom
* DOS(E_F): 5.6 states/eV per cell



Material: La2Zn2N3
Method: DFT, GGA-PBE
State: optimized geometry

Cell lengths 11.774, 3.548, 5.282 Å; angles 90.00, 100.75, 90.00 degrees
Space group C2/m (No. 12)
Asymmetric unit:
La 0.152 0.000 0.213
Zn 0.084 0.500 0.702
N 0.000 0.500 0.000
N 0.188 0.000 0.725

Summary:
* uncorrected formation energy: -0.79 eV/atom
* E: -6.1302 eV per atom
* calculated volume: 15.5 Å³/atom
* DOS(E_F): 3.2 states/eV per cell



Material: CaTl2Ir
Method: DFT, GGA-PBE
State: optimized geometry

Cell lengths 4.332, 4.853, 8.854 Å; angles 90.00, 90.00, 90.00 degrees
Space group Imm2 (No. 44)
Asymmetric unit:
Ca 0.000 0.000 0.000
Tl 0.000 0.000 0.531
Tl 0.000 0.500 0.768
Ir 0.000 0.500 0.251

Summary:
* E: -3.8038 eV per atom
* calculated volume: 23.3 Å³/atom
* DOS(E_F): 4.4 states/eV per cell
* formation energy: 0.095 eV/atom



Material: BPbSe2
Method: DFT, GGA-PBE
State: optimized geometry

Cell lengths 7.048, 7.048, 7.048 Å; angles 90.00, 90.00, 90.00 degrees
Space group Fm-3m (No. 225)
Asymmetric unit:
B 0.000 0.000 0.000
Pb 0.000 0.000 0.500
Se 0.250 0.250 0.250

Summary:
* uncorrected formation energy: 0.95 eV/atom
* E: -3.3890 eV per atom
* calculated volume: 21.9 Å³/atom
* excess energy over the best structure of this formula in the dataset: 838 meV per atom
* DOS(E_F): 15.8 states/eV per cell



Material: CaGa2Pd5
Method: DFT, GGA-PBE
State: optimized geometry

Cell lengths 3.908, 7.163, 10.159 Å; angles 90.00, 90.00, 90.00 degrees
Space group Immm (No. 71)
Asymmetric unit:
Ca 0.000 0.000 0.000
Ga 0.000 0.500 0.242
Pd 0.000 0.198 0.357
Pd 0.000 0.500 0.000

Summary:
* E: -4.8921 eV per atom
* calculated volume: 17.8 Å³/atom
* DOS(E_F): 4.7 states/eV per cell
* formation energy: -0.640 eV/atom



Material: HoInCoAu
Method: DFT, GGA-PBE
State: optimized geometry

Cell lengths 6.764, 6.764, 6.764 Å; angles 90.00, 90.00, 90.00 degrees
Space group F-43m (No. 216)
Asymmetric unit:
Ho 0.000 0.000 0.000
In 0.000 0.000 0.500
Co 0.250 0.250 0.750
Au 0.250 0.250 0.250

Summary:
* E: -4.7420 eV per atom
* calculated volume: 19.3 Å³/atom
* DOS(E_F): 9.6 states/eV per cell
* formation energy: -0.317 eV/atom



Material: Sc3GaN
Method: DFT, GGA-PBE
State: optimized geometry

Cell lengths 8.7722, 8.7722, 5.0022 Å; angles 90.00, 90.00, 120.00 degrees
Space group R3m (No. 160, hexagonal axes)
Asymmetric unit:
Sc 0.2118 0.4236 0.0000
Ga 0.0000 0.0000 0.8858
N 0.0000 0.0000 0.4973

Summary:
* uncorrected formation energy: -0.34 eV/atom
* E: -6.4121 eV per atom
* calculated volume: 22.2 Å³/atom
* DOS(E_F): 18.2 states/eV per cell



Material: ScCuPb2
Method: DFT, GGA-PBE
State: optimized geometry

Cell lengths 4.646, 4.646, 4.197 Å; angles 90.00, 90.00, 90.00 degrees
Space group P4/mmm (No. 123)
Asymmetric unit:
Sc 0.000 0.000 0.000
Cu 0.500 0.500 0.000
Pb 0.000 0.500 0.500

Summary:
* E: -4.5327 eV per atom
* calculated volume: 22.7 Å³/atom
* excess energy over the best structure of this formula in the dataset: 0 meV per atom
* DOS(E_F): 1.5 states/eV per cell
* formation energy: -0.072 eV/atom



Q: Which value of E does entry 1 give?
A: -4.2562 eV per atom